A relaxed structure of YbPd2, computed with PBE-GGA.

Structure (extended XYZ):
```
6
Lattice="3.853 0.000 0.000 0.000 3.853 0.000 0.000 0.000 8.913" Properties=species:S:1:pos:R:3 pbc="T T T"
Yb 0.000 0.000 0.000
Yb 1.926 1.926 4.457
Pd 0.000 1.926 2.228
Pd 0.000 1.926 6.685
Pd 1.926 0.000 2.228
Pd 1.926 0.000 6.685
```

Computed properties:
The value obtained for the density of states at the Fermi level is 5.67 states/eV/atom. For the formation energy, the calculation gives -0.4531 eV/atom. The density comes out at 9.69 g cm⁻³. For the total magnetic moment, the calculation gives 0.69 μB/cell.



A relaxed structure of YbZnPd, computed with PBE-GGA.

Structure (extended XYZ):
```
12
Lattice="7.086 0.000 0.000 0.000 4.253 0.000 0.000 0.000 7.950" Properties=species:S:1:pos:R:3 pbc="T T T"
Yb 0.144 1.063 1.503
Yb 3.399 3.189 5.478
Yb 3.687 1.063 2.472
Yb 6.942 3.189 6.448
Zn 1.113 1.063 4.545
Zn 2.430 3.189 0.570
Zn 4.656 1.063 7.380
Zn 5.973 3.189 3.405
Pd 1.573 3.189 3.082
Pd 1.970 1.063 7.058
Pd 5.116 3.189 0.893
Pd 5.513 1.063 4.868
```

Computed properties:
The value obtained for the density of states at the Fermi level is 4.77 states/eV/atom. For the formation energy, the calculation gives -0.7056 eV/atom. The density comes out at 9.56 g cm⁻³. For the total magnetic moment, the calculation gives 0.68 μB/cell.



A relaxed structure of Zn2Pd, computed with PBE-GGA.

Structure (extended XYZ):
```
6
Lattice="0.000 3.509 3.509 3.509 0.000 3.509 3.509 3.509 0.000" Properties=species:S:1:pos:R:3 pbc="T T T"
Zn 0.000 0.000 0.000
Zn 1.755 1.755 0.000
Zn 1.755 0.000 1.755
Zn 0.000 1.755 1.755
Pd 2.632 2.632 2.632
Pd 4.386 4.386 4.386
```

Computed properties:
The value obtained for the density of states at the Fermi level is 0.42 states/eV/atom. For the formation energy, the calculation gives -0.2836 eV/atom. The density comes out at 9.12 g cm⁻³. For the total magnetic moment, the calculation gives 0.00 μB/cell.



A relaxed structure of Zn4Pd, computed with PBE-GGA.

Structure (extended XYZ):
```
5
Lattice="3.994 0.000 0.000 0.000 2.781 0.000 -1.961 0.000 6.711" Properties=species:S:1:pos:R:3 pbc="T T T"
Zn 0.005 0.000 1.345
Zn 0.022 1.391 4.116
Zn 2.011 1.391 2.595
Zn 2.028 0.000 5.365
Pd 1.997 1.391 0.000
```

Computed properties:
The value obtained for the density of states at the Fermi level is 0.25 states/eV/atom. For the formation energy, the calculation gives -0.1977 eV/atom. The density comes out at 8.20 g cm⁻³. For the total magnetic moment, the calculation gives 0.00 μB/cell.



A relaxed structure of ZnPd3, computed with PBE-GGA.

Structure (extended XYZ):
```
4
Lattice="3.914 0.000 0.000 0.000 3.914 0.000 0.000 0.000 3.914" Properties=species:S:1:pos:R:3 pbc="T T T"
Zn 0.000 0.000 0.000
Pd 0.000 1.957 1.957
Pd 1.957 0.000 1.957
Pd 1.957 1.957 0.000
```

Computed properties:
The value obtained for the density of states at the Fermi level is 1.60 states/eV/atom. For the formation energy, the calculation gives -0.2997 eV/atom. The density comes out at 10.65 g cm⁻³. For the total magnetic moment, the calculation gives 0.00 μB/cell.



A relaxed structure of Zn6Pd, computed with PBE-GGA.

Structure (extended XYZ):
```
14
Lattice="4.922 0.000 0.000 0.000 4.922 0.000 0.000 0.000 8.994" Properties=species:S:1:pos:R:3 pbc="T T T"
Zn 0.356 2.817 1.270
Zn 0.356 4.566 7.725
Zn 1.231 1.231 3.262
Zn 1.231 1.231 5.732
Zn 2.105 2.817 7.725
Zn 2.105 4.566 1.270
Zn 2.817 0.356 7.725
Zn 2.817 2.105 1.270
Zn 3.692 3.692 3.262
Zn 3.692 3.692 5.732
Zn 4.566 0.356 1.270
Zn 4.566 2.105 7.725
Pd 1.231 3.692 4.497
Pd 3.692 1.231 4.497
```

Computed properties:
The value obtained for the density of states at the Fermi level is 0.29 states/eV/atom. For the energy above the lowest structure with this stoichiometry, the calculation gives 0.000 eV/atom. For the formation energy, the calculation gives -0.0413 eV/atom. The density comes out at 7.60 g cm⁻³. For the total magnetic moment, the calculation gives 0.00 μB/cell.



A relaxed structure of ZnPd3, computed with PBE-GGA.

Structure (extended XYZ):
```
16
Lattice="-4.958 4.958 2.485 4.958 -4.958 2.485 4.958 4.958 -2.485" Properties=species:S:1:pos:R:3 pbc="T T T"
Zn 4.715 2.872 -1.326
Zn 0.243 2.086 1.159
Zn 2.086 -0.243 3.811
Zn 2.872 5.202 1.326
Pd 5.795 1.019 0.124
Pd 2.804 1.906 0.028
Pd 1.439 -0.177 1.323
Pd 3.052 -2.154 2.456
Pd 3.519 5.135 -1.162
Pd 1.019 4.121 -0.124
Pd 3.940 0.837 2.361
Pd 4.781 3.519 1.162
Pd 1.906 7.113 -0.028
Pd 2.154 3.052 2.513
Pd 0.177 1.439 3.647
Pd -0.837 3.940 2.609
```

Computed properties:
The value obtained for the density of states at the Fermi level is 0.58 states/eV/atom. For the formation energy, the calculation gives -0.2695 eV/atom. The density comes out at 10.46 g cm⁻³. For the total magnetic moment, the calculation gives 0.00 μB/cell.



A relaxed structure of ZnPd, computed with PBE-GGA.

Structure (extended XYZ):
```
16
Lattice="7.854 0.000 0.000 0.000 7.854 0.000 0.000 0.000 4.374" Properties=species:S:1:pos:R:3 pbc="T T T"
Zn 0.000 2.050 0.000
Zn 0.000 5.804 0.000
Zn 1.877 3.927 2.187
Zn 2.050 0.000 0.000
Zn 3.927 1.877 2.187
Zn 3.927 5.977 2.187
Zn 5.804 0.000 0.000
Zn 5.977 3.927 2.187
Pd 1.374 1.374 2.187
Pd 1.374 6.479 2.187
Pd 2.553 2.553 0.000
Pd 2.553 5.301 0.000
Pd 5.301 2.553 0.000
Pd 5.301 5.301 0.000
Pd 6.479 1.374 2.187
Pd 6.479 6.479 2.187
```

Computed properties:
The value obtained for the density of states at the Fermi level is 0.35 states/eV/atom. For the formation energy, the calculation gives -0.3084 eV/atom. The density comes out at 8.46 g cm⁻³. For the total magnetic moment, the calculation gives 0.00 μB/cell.



A relaxed structure of ZnPd, computed with PBE-GGA.

Structure (extended XYZ):
```
8
Lattice="5.040 0.000 0.000 0.000 5.040 0.000 0.000 0.000 5.091" Properties=species:S:1:pos:R:3 pbc="T T T"
Zn 1.013 1.013 0.000
Zn 1.507 3.533 2.545
Zn 3.533 1.507 2.545
Zn 4.027 4.027 0.000
Pd 1.017 1.017 2.545
Pd 1.503 3.537 0.000
Pd 3.537 1.503 0.000
Pd 4.023 4.023 2.545
```

Computed properties:
The value obtained for the density of states at the Fermi level is 0.48 states/eV/atom. For the formation energy, the calculation gives -0.2540 eV/atom. The density comes out at 8.83 g cm⁻³. For the total magnetic moment, the calculation gives 0.00 μB/cell.



A relaxed structure of ZnPd, computed with PBE-GGA.

Structure (extended XYZ):
```
12
Lattice="6.941 0.000 0.000 0.000 6.941 0.000 0.000 0.000 6.941" Properties=species:S:1:pos:R:3 pbc="T T T"
Zn 0.000 1.735 3.470
Zn 0.000 5.205 3.470
Zn 1.735 3.470 0.000
Zn 3.470 0.000 1.735
Zn 3.470 0.000 5.205
Zn 5.205 3.470 0.000
Pd 0.000 3.470 1.735
Pd 0.000 3.470 5.205
Pd 1.735 0.000 3.470
Pd 3.470 1.735 0.000
Pd 3.470 5.205 0.000
Pd 5.205 0.000 3.470
```

Computed properties:
The value obtained for the density of states at the Fermi level is 0.37 states/eV/atom. For the formation energy, the calculation gives 0.3195 eV/atom. The density comes out at 5.12 g cm⁻³. For the total magnetic moment, the calculation gives 0.00 μB/cell.



A relaxed structure of Zn3Pd, computed with PBE-GGA.

Structure (extended XYZ):
```
8
Lattice="0.000 2.737 7.733 2.729 0.000 7.733 2.729 2.737 0.000" Properties=species:S:1:pos:R:3 pbc="T T T"
Zn 1.364 1.368 0.000
Zn 2.729 2.737 1.937
Zn 1.364 1.368 3.866
Zn 1.364 1.368 7.733
Zn 4.093 4.105 11.599
Zn 2.729 2.737 13.528
Pd 2.729 2.737 5.822
Pd 2.729 2.737 9.643
```

Computed properties:
The value obtained for the density of states at the Fermi level is 0.31 states/eV/atom. For the formation energy, the calculation gives -0.3382 eV/atom. The density comes out at 8.70 g cm⁻³. For the total magnetic moment, the calculation gives 0.00 μB/cell.